Entry from the Alexandria database: a relaxed SrBe2Tc crystal (PBE).

Cell: 5.114 5.114 5.114 Å, 134.78 134.78 65.88°
Fractional coordinates of all 4 atoms:
Sr  0.000  0.000  0.000
Be  0.500  0.500  0.000
Be  0.750  0.250  0.500
Tc  0.250  0.750  0.500

## Properties
- space group = I-4m2
- energy of formation from the pure elements (eV per atom) = 0.9762
- density of states at the Fermi level (states/eV per cell) = 2.1


Entry from the Alexandria database: a relaxed Nd5PaAs6 crystal (PBE).

Cell: 7.338 7.338 7.334 Å, 99.59 99.59 119.99°
Fractional coordinates of all 12 atoms:
Nd  0.000  0.000  0.000
Nd  0.166  0.834  0.500
Nd  0.331  0.669  0.000
Nd  0.669  0.331  0.000
Nd  0.834  0.166  0.500
Pa  0.500  0.500  0.500
As  0.097  0.419  0.257
As  0.260  0.260  0.744
As  0.419  0.097  0.257
As  0.581  0.903  0.743
As  0.740  0.740  0.256
As  0.903  0.581  0.743

## Properties
- space group = C2/m
- energy of formation from the pure elements (eV per atom) = -1.4560
- density of states at the Fermi level (states/eV per cell) = 4.7


Entry from the Alexandria database: a relaxed Tl2VSi crystal (PBE).

Cell: 5.007 5.007 5.007 Å, 60.00 60.00 60.00°
Fractional coordinates of all 4 atoms:
Tl  0.250  0.250  0.250
Tl  0.750  0.750  0.750
V  0.000  0.000  0.000
Si  0.500  0.500  0.500

## Properties
- space group = Fm-3m
- density of states at the Fermi level (states/eV per cell) = 3.3
- formation energy (no corrections) (meV/atom) = 736


Entry from the Alexandria database: a relaxed KSrSi2 crystal (PBE).

Cell: 6.909 6.909 6.909 Å, 100.04 100.04 130.64°
Fractional coordinates of all 8 atoms:
K  0.000  0.000  0.000
K  0.750  0.250  0.500
Sr  0.250  0.750  0.500
Sr  0.500  0.500  0.000
Si  0.130  0.625  0.005
Si  0.375  0.380  0.505
Si  0.620  0.125  0.995
Si  0.875  0.870  0.495

## Properties
- space group = I-42d
- density of states at the Fermi level (states/eV per cell) = 8.1
- formation energy (no corrections) (meV/atom) = 529


Entry from the Alexandria database: a relaxed LaY4Hg crystal (PBE).

Cell: 8.335 8.335 6.396 Å, 100.43 100.43 115.44°
Fractional coordinates of all 12 atoms:
La  0.110  0.890  0.750
La  0.890  0.110  0.250
Y  0.115  0.323  0.857
Y  0.214  0.588  0.446
Y  0.323  0.115  0.357
Y  0.412  0.786  0.054
Y  0.588  0.214  0.946
Y  0.677  0.885  0.643
Y  0.786  0.412  0.554
Y  0.885  0.677  0.143
Hg  0.500  0.500  0.250
Hg  0.500  0.500  0.750

## Properties
- space group = C2/c
- energy of formation from the pure elements (eV per atom) = -0.0670
- density of states at the Fermi level (states/eV per cell) = 17.7


Entry from the Alexandria database: a relaxed Cd2CuAg2 crystal (PBE).

Cell: 6.812 6.812 4.209 Å, 90.00 90.00 90.00°
Fractional coordinates of all 10 atoms:
Cd  0.162  0.338  0.000
Cd  0.338  0.838  0.000
Cd  0.662  0.162  0.000
Cd  0.838  0.662  0.000
Cu  0.000  0.000  0.500
Cu  0.500  0.500  0.500
Ag  0.146  0.646  0.500
Ag  0.354  0.146  0.500
Ag  0.646  0.854  0.500
Ag  0.854  0.354  0.500

## Properties
- space group = P4/mbm
- energy of formation from the pure elements (eV per atom) = 0.1341
- density of states at the Fermi level (states/eV per cell) = 2.8


Entry from the Alexandria database: a relaxed FeCuSe2N crystal (PBE).

Cell: 4.964 4.964 3.524 Å, 90.00 90.00 90.00°
Fractional coordinates of all 5 atoms:
Fe  0.000  0.000  0.000
Cu  0.500  0.500  0.500
Se  0.000  0.500  0.500
Se  0.500  0.000  0.500
N  0.500  0.500  0.000

## Properties
- space group = P4/mmm
- density of states at the Fermi level (states/eV per cell) = 6.6
- formation energy (no corrections) (meV/atom) = 1034


Entry from the Alexandria database: a relaxed LiCaBiCl6 crystal (PBE).

Cell: 6.906 6.906 11.974 Å, 90.00 90.00 120.00°
Fractional coordinates of all 18 atoms:
Li  0.000  0.000  0.000
Li  0.000  0.000  0.500
Ca  0.333  0.667  0.250
Ca  0.667  0.333  0.750
Bi  0.333  0.667  0.750
Bi  0.667  0.333  0.250
Cl  0.002  0.335  0.624
Cl  0.002  0.667  0.876
Cl  0.333  0.335  0.876
Cl  0.333  0.998  0.624
Cl  0.335  0.002  0.124
Cl  0.335  0.333  0.376
Cl  0.665  0.667  0.624
Cl  0.665  0.998  0.876
Cl  0.667  0.002  0.376
Cl  0.667  0.665  0.124
Cl  0.998  0.333  0.124
Cl  0.998  0.665  0.376

## Properties
- space group = P-31c
- density of states at the Fermi level (states/eV per cell) = 0.0
- formation energy (no corrections) (meV/atom) = -1611


Entry from the Alexandria database: a relaxed NaCdInCl4 crystal (PBE).

Cell: 7.255 7.426 8.454 Å, 90.00 105.49 90.00°
Fractional coordinates of all 14 atoms:
Na  0.198  0.250  0.053
Na  0.802  0.750  0.947
Cd  0.267  0.750  0.831
Cd  0.733  0.250  0.169
In  0.231  0.250  0.561
In  0.769  0.750  0.439
Cl  0.023  0.501  0.785
Cl  0.023  0.999  0.785
Cl  0.488  0.750  0.652
Cl  0.499  0.750  0.108
Cl  0.501  0.250  0.892
Cl  0.512  0.250  0.348
Cl  0.977  0.001  0.215
Cl  0.977  0.499  0.215

## Properties
- space group = P2_1/m
- density of states at the Fermi level (states/eV per cell) = 0.0
- formation energy (no corrections) (meV/atom) = -1176


Entry from the Alexandria database: a relaxed Y2Tl2Pd5 crystal (PBE).

Cell: 9.129 9.129 9.129 Å, 67.85 132.40 134.65°
Fractional coordinates of all 18 atoms:
Y  0.062  0.120  0.182
Y  0.062  0.380  0.442
Y  0.938  0.620  0.558
Y  0.938  0.880  0.818
Tl  0.339  0.615  0.224
Tl  0.390  0.115  0.776
Tl  0.610  0.110  0.500
Tl  0.610  0.610  0.000
Pd  0.103  0.291  0.824
Pd  0.103  0.778  0.312
Pd  0.466  0.278  0.176
Pd  0.466  0.791  0.688
Pd  0.498  0.014  0.160
Pd  0.498  0.838  0.985
Pd  0.520  0.452  0.568
Pd  0.853  0.338  0.840
Pd  0.853  0.514  0.015
Pd  0.883  0.952  0.432

## Properties
- space group = Ima2
- energy of formation from the pure elements (eV per atom) = -0.4254
- density of states at the Fermi level (states/eV per cell) = 11.2


Entry from the Alexandria database: a relaxed Ho2Cu3Au crystal (PBE).

Cell: 3.475 4.377 7.537 Å, 90.00 90.00 90.00°
Fractional coordinates of all 6 atoms:
Ho  0.000  0.000  0.000
Ho  0.000  0.500  0.486
Cu  0.500  0.000  0.321
Cu  0.500  0.000  0.644
Cu  0.500  0.500  0.173
Au  0.500  0.500  0.828

## Properties
- space group = Pmm2
- energy of formation from the pure elements (eV per atom) = -0.4161
- density of states at the Fermi level (states/eV per cell) = 3.1


Entry from the Alexandria database: a relaxed Ga3SeN crystal (PBE).

Cell: 5.093 5.093 5.093 Å, 90.00 90.00 90.00°
Fractional coordinates of all 5 atoms:
Ga  0.000  0.000  0.500
Ga  0.000  0.500  0.000
Ga  0.500  0.000  0.000
Se  0.000  0.000  0.000
N  0.500  0.500  0.500

## Properties
- space group = Pm-3m
- density of states at the Fermi level (states/eV per cell) = 5.3
- formation energy (no corrections) (meV/atom) = 1477


Entry from the Alexandria database: a relaxed LaSmTe2Se crystal (PBE).

Cell: 4.454 4.454 15.844 Å, 90.00 90.00 90.00°
Fractional coordinates of all 10 atoms:
La  0.250  0.250  0.131
La  0.750  0.750  0.869
Sm  0.250  0.250  0.594
Sm  0.750  0.750  0.406
Te  0.250  0.250  0.392
Te  0.250  0.250  0.791
Te  0.750  0.750  0.209
Te  0.750  0.750  0.608
Se  0.250  0.750  0.000
Se  0.750  0.250  0.000

## Properties
- space group = P4/nmm
- density of states at the Fermi level (states/eV per cell) = 4.5
- formation energy (no corrections) (meV/atom) = -1522


Entry from the Alexandria database: a relaxed MgNiPt2 crystal (PBE).

Cell: 2.818 3.694 5.633 Å, 90.00 90.13 90.00°
Fractional coordinates of all 4 atoms:
Mg  0.000  0.000  0.000
Ni  0.000  0.000  0.500
Pt  0.499  0.500  0.740
Pt  0.501  0.500  0.260

## Properties
- space group = P2/m
- energy of formation from the pure elements (eV per atom) = -0.4399
- density of states at the Fermi level (states/eV per cell) = 4.5


Entry from the Alexandria database: a relaxed Na2ZnPtO4 crystal (PBE).

Cell: 5.524 3.148 5.616 Å, 90.00 109.58 90.00°
Fractional coordinates of all 8 atoms:
Na  0.000  0.000  0.000
Na  0.500  0.500  0.000
Zn  0.000  0.500  0.500
Pt  0.500  0.000  0.500
O  0.245  0.000  0.702
O  0.284  0.500  0.297
O  0.716  0.500  0.703
O  0.755  0.000  0.298

## Properties
- space group = P2/m
- formation energy (no corrections) (meV/atom) = -1198


Entry from the Alexandria database: a relaxed Ag2IrPd crystal (PBE).

Cell: 4.531 4.531 4.531 Å, 60.00 60.00 60.00°
Fractional coordinates of all 4 atoms:
Ag  0.250  0.250  0.250
Ag  0.750  0.750  0.750
Ir  0.000  0.000  0.000
Pd  0.500  0.500  0.500

## Properties
- space group = Fm-3m
- energy of formation from the pure elements (eV per atom) = 0.4825
- density of states at the Fermi level (states/eV per cell) = 8.3


Entry from the Alexandria database: a relaxed AcTaSe6 crystal (PBE).

Cell: 6.537 6.537 7.820 Å, 119.30 119.30 72.01°
Fractional coordinates of all 8 atoms:
Ac  0.000  0.000  0.000
Ta  0.000  0.000  0.500
Se  0.144  0.644  0.617
Se  0.235  0.235  0.883
Se  0.356  0.856  0.383
Se  0.644  0.144  0.617
Se  0.765  0.765  0.117
Se  0.856  0.356  0.383

## Properties
- space group = C2/m
- density of states at the Fermi level (states/eV per cell) = 0.1
- formation energy (no corrections) (meV/atom) = -798


Entry from the Alexandria database: a relaxed SrScMn2Al crystal (PBE).

Cell: 4.870 4.870 5.604 Å, 90.00 90.00 90.00°
Fractional coordinates of all 5 atoms:
Sr  0.000  0.000  0.000
Sc  0.500  0.500  0.000
Mn  0.000  0.500  0.500
Mn  0.500  0.000  0.500
Al  0.000  0.000  0.500

## Properties
- space group = P4/mmm
- energy of formation from the pure elements (eV per atom) = 0.8801
- density of states at the Fermi level (states/eV per cell) = 9.4


Entry from the Alexandria database: a relaxed RbIrSN2 crystal (PBE).

Cell: 3.970 3.970 5.193 Å, 90.00 90.00 90.00°
Fractional coordinates of all 5 atoms:
Rb  0.000  0.000  0.000
Ir  0.500  0.500  0.500
S  0.500  0.500  0.000
N  0.000  0.500  0.500
N  0.500  0.000  0.500

## Properties
- space group = P4/mmm
- density of states at the Fermi level (states/eV per cell) = 4.1
- formation energy (no corrections) (meV/atom) = 734


Entry from the Alexandria database: a relaxed Tb2PuTc2C4 crystal (PBE).

Cell: 6.841 6.841 6.092 Å, 109.10 109.10 29.21°
Fractional coordinates of all 9 atoms:
Tb  0.135  0.135  0.031
Tb  0.865  0.865  0.969
Pu  0.000  0.000  0.500
Tc  0.322  0.322  0.506
Tc  0.678  0.678  0.494
C  0.227  0.227  0.725
C  0.469  0.469  0.754
C  0.531  0.531  0.246
C  0.773  0.773  0.275

## Properties
- space group = C2/m
- energy of formation from the pure elements (eV per atom) = 0.0075
- density of states at the Fermi level (states/eV per cell) = 9.4